Below is an optimized crystal structure of Re2NiAu, with properties calculated at the PBE level.

abc: 5.276 8.256 2.702
angles: 90.00 90.00 90.00
Space group Cmmm (No. 65)
Unique sites:
Re: 0.250 0.250 0.000
Ni: 0.000 0.000 0.500
Au: 0.000 0.500 0.500

Computed properties:
ΔE to the lowest computed polymorph = 238 meV per atom
DOS(E_F) = 4.82 states/eV/f.u.
energy relative to the elements = 0.4379 eV per atom

---

Below is an optimized crystal structure of TbZr4Ru5, with properties calculated at the PBE level.

abc: 3.295 3.295 16.661
angles: 90.00 90.00 90.00
Space group P4/mmm (No. 123)
Unique sites:
Tb: 0.000 0.000 0.000
Zr: 0.000 0.000 0.203
Zr: 0.000 0.000 0.401
Ru: 0.500 0.500 0.112
Ru: 0.500 0.500 0.305
Ru: 0.500 0.500 0.500

Computed properties:
DOS(E_F) = 2.62 states/eV/f.u.
energy relative to the elements = -0.5970 eV per atom